# TiHgBr4 PBE relaxed
# Mass density: 3.15 g cm⁻³
# Final energy: -3.459 eV/atom
# Calculated volume: 49.9 Å³ per atom
# Uncorrected formation energy: -0.9779 eV/atom
data_TiHgBr4
_chemical_formula_sum 'Ti4 Hg4 Br16'
_cell_length_a 12.804
_cell_length_b 11.913
_cell_length_c 7.856
_cell_angle_alpha 90.00
_cell_angle_beta 90.00
_cell_angle_gamma 90.00
_space_group_name_H-M_alt 'A m a 2'
_space_group_IT_number 40
_space_group_name_Hall 'A 2 -2a'
loop_
_atom_site_label
_atom_site_type_symbol
_atom_site_fract_x
_atom_site_fract_y
_atom_site_fract_z
Ti1 Ti 0.250 0.100 0.000
Hg1 Hg 0.000 0.000 0.565
Br1 Br 0.101 0.201 0.924
Br2 Br 0.250 0.067 0.293
Br3 Br 0.250 0.429 0.352

# Zr2AlCl PBE relaxed
# Mass density: 5.03 g cm⁻³
# Final energy: -6.097 eV/atom
# Calculated volume: 20.2 Å³ per atom
# Uncorrected formation energy: -0.4253 eV/atom
data_Zr2AlCl
_chemical_formula_sum 'Zr4 Al2 Cl2'
_cell_length_a 3.200
_cell_length_b 5.438
_cell_length_c 9.287
_cell_angle_alpha 90.00
_cell_angle_beta 90.00
_cell_angle_gamma 90.00
_space_group_name_H-M_alt 'C m m m'
_space_group_IT_number 65
_space_group_name_Hall '-C 2 2'
loop_
_atom_site_label
_atom_site_type_symbol
_atom_site_fract_x
_atom_site_fract_y
_atom_site_fract_z
Zr1 Zr 0.000 0.000 0.242
Al1 Al 0.000 0.500 0.500
Cl1 Cl 0.000 0.500 0.000

# PrIn2Sn PBE relaxed
# Mass density: 7.56 g cm⁻³
# Final energy: -4.063 eV/atom
# Calculated volume: 26.8 Å³ per atom
# ΔH_f (0 K): -0.50 eV per atom
data_PrIn2Sn
_chemical_formula_sum 'Pr1 In2 Sn1'
_cell_length_a 4.702
_cell_length_b 4.702
_cell_length_c 4.857
_cell_angle_alpha 90.00
_cell_angle_beta 90.00
_cell_angle_gamma 90.00
_space_group_name_H-M_alt 'P 4/m m m'
_space_group_IT_number 123
_space_group_name_Hall '-P 4 2'
loop_
_atom_site_label
_atom_site_type_symbol
_atom_site_fract_x
_atom_site_fract_y
_atom_site_fract_z
Pr1 Pr 0.000 0.000 0.000
In1 In 0.000 0.500 0.500
Sn1 Sn 0.500 0.500 0.000